Density functional theory data (PBE-GGA) for an optimized crystal structure of Ir5RuRh2.

Geometry as POSCAR:
```
Ir5RuRh2
1.0
3.787 0.000 -0.734
-0.142 3.785 -0.734
-0.381 -0.395 8.169
Ir Ru Rh
5 1 2
direct
0.500 0.500 0.000
0.377 0.877 0.753
0.877 0.377 0.753
0.623 0.123 0.247
0.123 0.623 0.247
0.000 0.000 0.000
0.749 0.749 0.498
0.251 0.251 0.502
```

As for the space group: I4/mmm (139). The distance to the lowest polymorph of the same formula comes out at 0 meV per atom. As for the total moment: 0.00 μB per atom. The calculated total energy is -8.563 eV/atom. As for the formation energy: -0.03 eV per atom. For the density, the calculation gives 18.33 Mg/m³.